# 1
Below is crystalline NaPm3Ir at its relaxed geometry, with properties calculated at the PBE-GGA level.

POSCAR file:
```
NaPm3Ir
1.0
-1.658 5.141 1.543
-2.432 -2.159 4.581
4.785 0.684 2.863
Na Ir Pm
1 1 3
direct
0.500 0.500 0.500
0.000 0.000 0.000
0.000 0.500 0.000
0.000 0.000 0.500
0.500 0.000 0.000
```

---

# 2
Below is crystalline NaPmIr4 at its relaxed geometry, with properties calculated at the PBE-GGA level.

POSCAR file:
```
NaPmIr4
1.0
-4.603 2.344 1.398
-3.528 1.426 -3.763
-4.615 -2.664 -0.487
Na Ir Pm
1 4 1
direct
0.000 0.000 0.000
0.625 0.625 0.124
0.625 0.124 0.625
0.625 0.625 0.625
0.124 0.625 0.625
0.250 0.250 0.250
```

---

# 3
Below is crystalline NaPm2Ir at its relaxed geometry, with properties calculated at the PBE-GGA level.

Calculated values
Energy relative to the lowest polymorph listed for this composition in meV/atom: 147

POSCAR file:
```
NaPm2Ir
1.0
5.156 0.000 0.000
2.578 4.465 0.000
2.578 1.488 4.210
Na Ir Pm
1 1 2
direct
0.000 0.000 0.000
0.500 0.500 0.500
0.250 0.250 0.250
0.750 0.750 0.750
```

---

# 4
Below is crystalline NaPm2Ir at its relaxed geometry, with properties calculated at the PBE-GGA level.

Calculated values
Energy relative to the lowest polymorph listed for this composition in meV/atom: 6

POSCAR file:
```
NaPm2Ir
1.0
4.185 0.000 0.000
2.092 3.624 0.000
2.092 1.208 9.139
Na Ir Pm
1 1 2
direct
0.500 0.500 0.500
0.000 0.000 0.000
0.280 0.280 0.160
0.720 0.720 0.840
```

---

# 5
Below is crystalline NaPm2Ir at its relaxed geometry, with properties calculated at the PBE-GGA level.

Calculated values
Energy relative to the lowest polymorph listed for this composition in meV/atom: 0

POSCAR file:
```
NaPm2Ir
1.0
4.195 0.000 0.000
2.097 3.633 0.000
2.097 1.211 9.029
Na Pm Ir
1 2 1
direct
0.501 0.501 0.497
0.053 0.053 0.840
0.279 0.279 0.162
0.666 0.666 0.001
```

---

# 6
Below is crystalline NaPm2Ir at its relaxed geometry, with properties calculated at the PBE-GGA level.

Calculated values
Energy relative to the lowest polymorph listed for this composition in meV/atom: 61

POSCAR file:
```
NaPm2Ir
1.0
3.570 0.000 0.000
0.000 3.570 0.000
0.000 0.000 9.474
Na Ir Pm
1 1 2
direct
0.500 0.500 0.500
0.500 0.500 0.000
0.000 0.000 0.827
0.000 0.000 0.173
```

---

no.,formation enthalpy at 0 K (meV/atom)
1,-197
2,-322
3,-209
4,-351
5,-356
6,-295